The following is a DFT calculation (PBE with a Hubbard U) of a geometry-optimized Cr2SbO6 structure.

Results
VASP energy = -188.01 eV for the cell shown
D(E_F) = 11.43 states/eV per cell
symmetry = P-3m1 (164)

a b c (Å): 8.8507 8.8507 4.3969
angles (deg): 90.00 90.00 120.00
Fractional coordinates of all 27 atoms:
Cr  0.0000  0.3402  0.0000
Cr  0.0000  0.6598  0.0000
Cr  0.3402  0.0000  0.0000
Cr  0.3402  0.3402  0.0000
Cr  0.6598  0.0000  0.0000
Cr  0.6598  0.6598  0.0000
Sb  0.0000  0.0000  0.0000
Sb  0.3333  0.6667  0.5061
Sb  0.6667  0.3333  0.4939
O  0.1097  0.5549  0.2491
O  0.1156  0.2311  0.2199
O  0.1156  0.8844  0.2199
O  0.2220  0.4440  0.7562
O  0.2220  0.7780  0.7562
O  0.2311  0.1156  0.7801
O  0.4440  0.2220  0.2438
O  0.4451  0.5549  0.2491
O  0.4451  0.8903  0.2491
O  0.5549  0.1097  0.7509
O  0.5549  0.4451  0.7509
O  0.5560  0.7780  0.7562
O  0.7689  0.8844  0.2199
O  0.7780  0.2220  0.2438
O  0.7780  0.5560  0.2438
O  0.8844  0.1156  0.7801
O  0.8844  0.7689  0.7801
O  0.8903  0.4451  0.7509